i.
# Ac2NCl

A geometry-optimized Ac2NCl structure (PBE-GGA, Alexandria).

Space group: R3m, No. 160

abc: 3.8831 3.8831 8.0549
angles: 76.05 76.05 60.00
Fractional positions:
1 Ac 0.0638 0.0638 0.8085
2 Ac 0.2700 0.2700 0.1900
3 N 0.6665 0.6665 0.0004
4 Cl 0.4996 0.4996 0.5011

---

ii.
# Ac2NCl

A geometry-optimized Ac2NCl structure (PBE-GGA, Alexandria).

Space group: R-3m, No. 166

abc: 3.9078 3.9078 7.8923
angles: 75.67 75.67 60.00
Fractional positions:
1 Ac 0.2694 0.2694 0.1918
2 Ac 0.7306 0.7306 0.8082
3 N 0.0000 0.0000 0.0000
4 Cl 0.5000 0.5000 0.5000

---

iii.
# Ac2NCl

A geometry-optimized Ac2NCl structure (PBE-GGA, Alexandria).

Space group: P4/mmm, No. 123

abc: 3.4800 3.4800 7.3352
angles: 90.00 90.00 90.00
Fractional positions:
1 Ac 0.0000 0.0000 0.2181
2 Ac 0.0000 0.0000 0.7819
3 N 0.5000 0.5000 0.0000
4 Cl 0.5000 0.5000 0.5000

---

Which structure is the most stable? The one labeled ii.